Entry 1:
YTeRu2 | PBEsol | relaxed

a = 6.652 Å, b = 6.652 Å, c = 6.652 Å
α = 90.00°, β = 90.00°, γ = 90.00°
Positions (direct):
Y: 0.000 0.000 0.000
Y: 0.000 0.500 0.500
Y: 0.500 0.000 0.500
Y: 0.500 0.500 0.000
Te: 0.250 0.250 0.250
Te: 0.250 0.750 0.750
Te: 0.750 0.250 0.750
Te: 0.750 0.750 0.250
Ru: 0.000 0.000 0.500
Ru: 0.000 0.500 0.000
Ru: 0.250 0.250 0.750
Ru: 0.250 0.750 0.250
Ru: 0.500 0.000 0.000
Ru: 0.500 0.500 0.500
Ru: 0.750 0.250 0.250
Ru: 0.750 0.750 0.750

Output
Its formation energy without anion corrections is 0.271 eV/atom. As for the total energy: -118.4 eV per cell. The magnetization is 0.542 μB per atom.


Entry 2:
InRh2Au | PBEsol | relaxed

a = 5.880 Å, b = 7.043 Å, c = 3.018 Å
α = 90.00°, β = 90.00°, γ = 90.00°
Positions (direct):
In: 0.000 0.000 0.000
In: 0.500 0.500 0.000
Rh: 0.250 0.250 0.500
Rh: 0.250 0.750 0.500
Rh: 0.750 0.250 0.500
Rh: 0.750 0.750 0.500
Au: 0.000 0.500 0.000
Au: 0.500 0.000 0.000

Output
Its formation enthalpy at 0 K is -136.6 meV/atom. As for the total energy: -47.5 eV per cell. The magnetization is 0.000 μB per atom.


Entry 3:
CaBPd3 | PBEsol | relaxed

a = 5.226 Å, b = 5.900 Å, c = 5.511 Å
α = 90.00°, β = 116.75°, γ = 90.00°
Positions (direct):
Ca: 0.226 0.250 0.231
Ca: 0.774 0.750 0.769
B: 0.420 0.750 0.042
B: 0.580 0.250 0.958
Pd: 0.238 0.750 0.303
Pd: 0.259 0.006 0.744
Pd: 0.259 0.494 0.744
Pd: 0.741 0.506 0.256
Pd: 0.741 0.994 0.256
Pd: 0.762 0.250 0.697

Output
Its formation enthalpy at 0 K is -566.5 meV/atom. As for the total energy: -59.7 eV per cell. The magnetization is 0.000 μB per atom.


Entry 4:
Li2AlCd | PBEsol | relaxed

a = 2.905 Å, b = 4.584 Å, c = 5.064 Å
α = 90.00°, β = 90.00°, γ = 90.00°
Positions (direct):
Li: 0.000 0.000 0.000
Li: 0.000 0.500 0.325
Al: 0.500 0.500 0.829
Cd: 0.500 0.000 0.504

Output
Its formation enthalpy at 0 K is -180.4 meV/atom. As for the total energy: -9.9 eV per cell. The magnetization is 0.000 μB per atom.


Entry 5:
KBe2Hg | PBEsol | relaxed

a = 2.799 Å, b = 3.372 Å, c = 7.889 Å
α = 90.00°, β = 90.00°, γ = 90.00°
Positions (direct):
K: 0.000 0.000 0.000
Be: 0.000 0.000 0.406
Be: 0.500 0.500 0.337
Hg: 0.500 0.500 0.661

Output
Its formation enthalpy at 0 K is 458.2 meV/atom. As for the total energy: -7.9 eV per cell. The magnetization is 0.000 μB per atom.


Entry 6:
La2Ag | PBEsol | relaxed

a = 3.692 Å, b = 16.824 Å, c = 5.556 Å
α = 90.00°, β = 90.00°, γ = 90.00°
Positions (direct):
La: 0.000 0.081 0.250
La: 0.000 0.227 0.750
La: 0.000 0.773 0.250
La: 0.000 0.919 0.750
La: 0.500 0.273 0.250
La: 0.500 0.419 0.750
La: 0.500 0.581 0.250
La: 0.500 0.727 0.750
Ag: 0.000 0.425 0.250
Ag: 0.000 0.575 0.750
Ag: 0.500 0.075 0.750
Ag: 0.500 0.925 0.250

Output
Its formation enthalpy at 0 K is -122.0 meV/atom. As for the total energy: -57.5 eV per cell. The magnetization is 0.000 μB per atom.


Entry 7:
Li4VCr3O8 | PBEsol | relaxed

a = 5.836 Å, b = 5.836 Å, c = 5.019 Å
α = 106.89°, β = 106.89°, γ = 60.00°
Positions (direct):
Li: 0.248 0.752 0.000
Li: 0.249 0.249 0.997
Li: 0.751 0.751 0.003
Li: 0.752 0.248 0.000
V: 0.500 0.500 0.500
Cr: 0.000 0.000 0.500
Cr: 0.000 0.500 0.500
Cr: 0.500 0.000 0.500
O: 0.126 0.631 0.274
O: 0.129 0.129 0.275
O: 0.369 0.874 0.726
O: 0.370 0.370 0.726
O: 0.630 0.630 0.274
O: 0.631 0.126 0.274
O: 0.871 0.871 0.725
O: 0.874 0.369 0.726

Output
Its formation energy without anion corrections is -2.071 eV/atom. As for the total energy: -123.4 eV per cell. The magnetization is 0.688 μB per atom.


Entry 8:
HgAs2Br | PBEsol | relaxed

a = 12.023 Å, b = 3.613 Å, c = 4.785 Å
α = 90.00°, β = 90.46°, γ = 90.00°
Positions (direct):
Hg: 0.000 0.000 0.000
Hg: 0.500 0.500 0.000
As: 0.032 0.500 0.515
As: 0.162 0.000 0.370
As: 0.532 0.000 0.515
As: 0.662 0.500 0.370
Br: 0.291 0.500 0.858
Br: 0.791 0.000 0.858

Output
Its formation energy without anion corrections is 0.063 eV/atom. As for the total energy: -24.8 eV per cell. The magnetization is 0.000 μB per atom.


> Which of these has the highest magnetization?

Li4VCr3O8